(one)
The following is a DFT calculation (GGA-PBE) of a relaxed structure of Pm2Pb. Values from VASP.

```
&SYSTEM
  ibrav = 0, nat = 6, ntyp = 2
/
ATOMIC_SPECIES
Pb 207.20 Pb.upf
Pm 145.00 Pm.upf
CELL_PARAMETERS angstrom
0.000 4.541 4.541
4.541 0.000 4.541
4.541 4.541 0.000
ATOMIC_POSITIONS angstrom
Pb 0.000 0.000 0.000
Pb 2.271 2.271 2.271
Pm 3.406 3.406 5.676
Pm 3.406 5.676 3.406
Pm 5.676 3.406 3.406
Pm 5.676 5.676 5.676
```

Properties
* space-group type: No. 227
* total moment: 0.01 μB/atom



(two)
The following is a DFT calculation (GGA-PBE) of a relaxed structure of Pm2Pb. Values from VASP.

```
&SYSTEM
  ibrav = 0, nat = 6, ntyp = 2
/
ATOMIC_SPECIES
Pb 207.20 Pb.upf
Pm 145.00 Pm.upf
CELL_PARAMETERS angstrom
4.861 2.806 7.937
-4.861 2.806 7.937
0.000 -5.613 7.937
ATOMIC_POSITIONS angstrom
Pb 0.000 0.000 5.953
Pb 0.000 0.000 11.906
Pm 2.430 1.403 12.898
Pm -2.430 1.403 12.898
Pm 0.000 0.000 8.930
Pm 0.000 -2.806 12.898
```

Properties
* space-group type: No. 227
* total moment: 0.01 μB/atom



Which one sits at the top of the stability order? (one) does.



(one)
The following is a DFT calculation (GGA-PBE) of a relaxed structure of CuSiBiOs. Values from VASP.

```
&SYSTEM
  ibrav = 0, nat = 4, ntyp = 4
/
ATOMIC_SPECIES
Bi 208.98 Bi.upf
Cu 63.55 Cu.upf
Os 190.23 Os.upf
Si 28.09 Si.upf
CELL_PARAMETERS angstrom
1.908 0.824 4.083
-0.420 4.133 1.932
-2.648 0.541 3.699
ATOMIC_POSITIONS angstrom
Bi -0.580 2.749 4.857
Cu -0.870 4.123 7.286
Os 0.000 0.000 0.000
Si -0.290 1.374 2.429
```

Properties
* space-group type: No. 216
* total moment: 0.00 μB/atom



(two)
The following is a DFT calculation (GGA-PBE) of a relaxed structure of CuSiBiOs. Values from VASP.

```
&SYSTEM
  ibrav = 0, nat = 4, ntyp = 4
/
ATOMIC_SPECIES
Bi 208.98 Bi.upf
Cu 63.55 Cu.upf
Os 190.23 Os.upf
Si 28.09 Si.upf
CELL_PARAMETERS angstrom
0.000 3.222 3.222
3.222 0.000 3.222
3.222 3.222 0.000
ATOMIC_POSITIONS angstrom
Bi 0.000 0.000 0.000
Cu 4.834 4.834 4.834
Os 1.611 1.611 1.611
Si 3.222 3.222 3.222
```

Properties
* space-group type: No. 216
* total moment: 0.00 μB/atom



Which one sits at the top of the stability order? (two) does.



(one)
The following is a DFT calculation (GGA-PBE) of a relaxed structure of GdTh. Values from VASP.

```
&SYSTEM
  ibrav = 0, nat = 2, ntyp = 2
/
ATOMIC_SPECIES
Gd 157.25 Gd.upf
Th 232.04 Th.upf
CELL_PARAMETERS angstrom
3.557 0.000 0.000
-1.779 3.081 0.000
0.000 0.000 5.911
ATOMIC_POSITIONS angstrom
Gd 1.779 1.027 4.433
Th 0.000 2.054 1.478
```

Properties
* space-group type: No. 187
* total moment: 0.00 μB/atom



(two)
The following is a DFT calculation (GGA-PBE) of a relaxed structure of GdTh. Values from VASP.

```
&SYSTEM
  ibrav = 0, nat = 2, ntyp = 2
/
ATOMIC_SPECIES
Gd 157.25 Gd.upf
Th 232.04 Th.upf
CELL_PARAMETERS angstrom
0.000 3.430 3.430
3.430 0.000 3.430
3.430 3.430 0.000
ATOMIC_POSITIONS angstrom
Gd 0.000 0.000 0.000
Th 1.715 1.715 1.715
```

Properties
* space-group type: No. 216
* total moment: 0.01 μB/atom



Which one sits at the top of the stability order? (one) does.



(one)
The following is a DFT calculation (GGA-PBE) of a relaxed structure of MgCdSO. Values from VASP.

```
&SYSTEM
  ibrav = 0, nat = 8, ntyp = 4
/
ATOMIC_SPECIES
Cd 112.41 Cd.upf
Mg 24.30 Mg.upf
O 16.00 O.upf
S 32.06 S.upf
CELL_PARAMETERS angstrom
-2.433 2.791 1.157
-1.730 -2.505 2.405
5.620 2.251 6.390
ATOMIC_POSITIONS angstrom
Cd -2.267 0.557 3.644
Cd 3.724 1.980 6.308
Mg 1.511 1.094 3.792
Mg -0.055 1.444 6.159
O 0.553 2.593 4.664
O 0.904 -0.055 5.288
S -0.188 0.413 1.861
S 1.644 2.124 8.091
```

Properties
* space-group type: No. 129



(two)
The following is a DFT calculation (GGA-PBE) of a relaxed structure of MgCdSO. Values from VASP.

```
&SYSTEM
  ibrav = 0, nat = 8, ntyp = 4
/
ATOMIC_SPECIES
Cd 112.41 Cd.upf
Mg 24.30 Mg.upf
O 16.00 O.upf
S 32.06 S.upf
CELL_PARAMETERS angstrom
-0.470 -2.658 -3.793
3.675 -2.534 1.320
-4.224 -4.289 3.529
ATOMIC_POSITIONS angstrom
Cd 1.621 -4.688 -1.201
Cd -2.640 -4.792 2.257
Mg -0.735 -2.858 0.665
Mg -0.284 -6.623 0.391
O 0.368 -1.738 -0.256
O -1.387 -7.742 1.312
S -1.546 -4.771 -0.750
S 0.527 -4.709 1.806
```

Properties
* space-group type: No. 129



Which one sits at the top of the stability order? (one) does.



(one)
The following is a DFT calculation (GGA-PBE) of a relaxed structure of Pr. Values from VASP.

```
&SYSTEM
  ibrav = 0, nat = 1, ntyp = 1
/
ATOMIC_SPECIES
Pr 140.91 Pr.upf
CELL_PARAMETERS angstrom
0.941 -3.485 -0.044
-3.040 0.450 -1.895
2.638 1.977 -1.471
ATOMIC_POSITIONS angstrom
Pr 0.000 0.000 0.000
```

Properties
* space-group type: No. 229
* total moment: 0.46 μB/atom



(two)
The following is a DFT calculation (GGA-PBE) of a relaxed structure of Pr. Values from VASP.

```
&SYSTEM
  ibrav = 0, nat = 1, ntyp = 1
/
ATOMIC_SPECIES
Pr 140.91 Pr.upf
CELL_PARAMETERS angstrom
3.324 1.239 1.061
-0.613 3.181 -1.793
-2.430 -1.190 2.542
ATOMIC_POSITIONS angstrom
Pr 0.000 0.000 0.000
```

Properties
* space-group type: No. 139
* total moment: 0.00 μB/atom



Which one sits at the top of the stability order? (two) does.



(one)
The following is a DFT calculation (GGA-PBE) of a relaxed structure of CsNaTcIr. Values from VASP.

```
&SYSTEM
  ibrav = 0, nat = 4, ntyp = 4
/
ATOMIC_SPECIES
Cs 132.91 Cs.upf
Ir 192.22 Ir.upf
Na 22.99 Na.upf
Tc 98.00 Tc.upf
CELL_PARAMETERS angstrom
-1.946 1.537 4.410
-3.831 -2.551 2.101
0.772 -2.725 4.193
ATOMIC_POSITIONS angstrom
Cs 0.000 0.000 0.000
Ir -1.251 -0.935 2.676
Na -3.754 -2.804 8.028
Tc -2.502 -1.870 5.352
```

Properties
* space-group type: No. 216
* total moment: 0.98 μB/atom



(two)
The following is a DFT calculation (GGA-PBE) of a relaxed structure of CsNaTcIr. Values from VASP.

```
&SYSTEM
  ibrav = 0, nat = 4, ntyp = 4
/
ATOMIC_SPECIES
Cs 132.91 Cs.upf
Ir 192.22 Ir.upf
Na 22.99 Na.upf
Tc 98.00 Tc.upf
CELL_PARAMETERS angstrom
0.000 3.462 3.462
3.462 0.000 3.462
3.462 3.462 0.000
ATOMIC_POSITIONS angstrom
Cs 3.462 3.462 3.462
Ir 0.000 0.000 0.000
Na 5.193 5.193 5.193
Tc 1.731 1.731 1.731
```

Properties
* space-group type: No. 216
* total moment: 0.48 μB/atom



Which one sits at the top of the stability order? (two) does.



(one)
The following is a DFT calculation (GGA-PBE) of a relaxed structure of NiSnHgS3. Values from VASP.

```
&SYSTEM
  ibrav = 0, nat = 12, ntyp = 4
/
ATOMIC_SPECIES
Hg 200.59 Hg.upf
Ni 58.69 Ni.upf
S 32.06 S.upf
Sn 118.71 Sn.upf
CELL_PARAMETERS angstrom
-2.766 -6.294 3.577
-0.436 -4.967 5.933
-7.011 5.318 3.938
ATOMIC_POSITIONS angstrom
Hg -2.730 -2.109 3.888
Hg -7.482 -3.834 9.559
Ni 0.000 0.000 0.000
Ni -3.505 2.659 1.969
S -1.432 -4.436 3.915
S -1.831 1.052 1.219
S -4.656 -1.990 5.726
S -5.556 -3.953 7.721
S -8.381 -6.995 12.229
S -8.780 -1.507 9.532
Sn -3.823 -5.953 7.134
Sn -6.389 0.010 6.313
```

Properties
* space-group type: No. 63
* total moment: 0.00 μB/atom



(two)
The following is a DFT calculation (GGA-PBE) of a relaxed structure of NiSnHgS3. Values from VASP.

```
&SYSTEM
  ibrav = 0, nat = 12, ntyp = 4
/
ATOMIC_SPECIES
Hg 200.59 Hg.upf
Ni 58.69 Ni.upf
S 32.06 S.upf
Sn 118.71 Sn.upf
CELL_PARAMETERS angstrom
1.858 -6.106 0.000
1.858 6.106 0.000
0.000 0.000 11.195
ATOMIC_POSITIONS angstrom
Hg 0.000 0.000 0.000
Hg 0.000 0.000 5.597
Ni 1.858 -0.308 2.799
Ni 1.858 0.308 8.396
S 1.858 -1.699 1.013
S 1.858 -5.120 2.799
S 1.858 -1.699 4.584
S 1.858 1.699 6.611
S 1.858 5.120 8.396
S 1.858 1.699 10.182
Sn 1.858 3.244 2.799
Sn 1.858 -3.244 8.396
```

Properties
* space-group type: No. 63
* total moment: 0.20 μB/atom



Which one sits at the top of the stability order? (one) does.



(one)
The following is a DFT calculation (GGA-PBE) of a relaxed structure of Cu2Ag3. Values from VASP.

```
&SYSTEM
  ibrav = 0, nat = 10, ntyp = 2
/
ATOMIC_SPECIES
Ag 107.87 Ag.upf
Cu 63.55 Cu.upf
CELL_PARAMETERS angstrom
6.232 0.000 0.000
0.000 3.954 0.000
-0.070 0.000 6.319
ATOMIC_POSITIONS angstrom
Ag 1.798 1.977 0.634
Ag 1.136 0.000 2.474
Ag 3.206 1.977 3.115
Ag 0.485 1.977 4.389
Ag 2.461 0.000 5.075
Ag 4.350 1.977 5.789
Cu 6.153 0.000 0.025
Cu 3.868 0.000 1.322
Cu 5.554 1.977 1.875
Cu 4.954 0.000 3.738
```

Properties
* space-group type: No. 6



(two)
The following is a DFT calculation (GGA-PBE) of a relaxed structure of Cu2Ag3. Values from VASP.

```
&SYSTEM
  ibrav = 0, nat = 10, ntyp = 2
/
ATOMIC_SPECIES
Ag 107.87 Ag.upf
Cu 63.55 Cu.upf
CELL_PARAMETERS angstrom
-3.896 -3.000 0.076
3.492 -3.359 -1.072
1.171 2.105 6.775
ATOMIC_POSITIONS angstrom
Ag -0.536 -0.229 1.481
Ag 0.369 -4.204 1.449
Ag 1.679 -1.802 2.367
Ag -0.912 -2.453 3.412
Ag 0.398 -0.051 4.330
Ag 1.303 -4.025 4.298
Cu 0.574 -2.073 -0.131
Cu -1.842 -2.575 0.775
Cu 2.609 -1.679 5.004
Cu 0.193 -2.181 5.910
```

Properties
* space-group type: No. 2



Which one sits at the top of the stability order? (two) does.



(one)
The following is a DFT calculation (GGA-PBE) of a relaxed structure of BeGaIr2. Values from VASP.

```
&SYSTEM
  ibrav = 0, nat = 4, ntyp = 3
/
ATOMIC_SPECIES
Be 9.01 Be.upf
Ga 69.72 Ga.upf
Ir 192.22 Ir.upf
CELL_PARAMETERS angstrom
-2.862 0.596 0.131
-0.226 -1.620 2.427
1.142 4.763 3.286
ATOMIC_POSITIONS angstrom
Be 0.571 2.382 1.643
Ga 0.000 0.000 0.000
Ir -1.239 0.762 2.157
Ir -0.707 2.978 3.686
```

Properties
* space-group type: No. 123
* total moment: 0.00 μB/atom



(two)
The following is a DFT calculation (GGA-PBE) of a relaxed structure of BeGaIr2. Values from VASP.

```
&SYSTEM
  ibrav = 0, nat = 16, ntyp = 3
/
ATOMIC_SPECIES
Be 9.01 Be.upf
Ga 69.72 Ga.upf
Ir 192.22 Ir.upf
CELL_PARAMETERS angstrom
-2.249 3.209 -3.603
-6.532 -2.926 1.472
-0.800 3.693 3.788
ATOMIC_POSITIONS angstrom
Be -3.819 2.564 -2.781
Be -6.249 0.830 1.124
Be -3.333 3.146 0.532
Be -5.763 1.412 4.438
Ga -2.677 0.804 -1.212
Ga -7.438 2.658 -0.521
Ga -2.143 1.318 2.178
Ga -6.905 3.172 2.869
Ir -3.904 -0.227 0.796
Ir -7.013 -1.620 1.497
Ir -1.867 3.319 -1.251
Ir -4.975 1.926 -0.550
Ir -4.606 2.049 2.207
Ir -7.714 0.657 2.907
Ir -2.569 5.595 0.160
Ir -5.677 4.203 0.861
```

Properties
* space-group type: No. 62
* total moment: 0.00 μB/atom



Which one sits at the top of the stability order? (one) does.



(one)
The following is a DFT calculation (GGA-PBE) of a relaxed structure of Cu. Values from VASP.

```
&SYSTEM
  ibrav = 0, nat = 3, ntyp = 1
/
ATOMIC_SPECIES
Cu 63.55 Cu.upf
CELL_PARAMETERS angstrom
-0.896 2.062 -1.134
-1.117 -2.226 -0.369
-7.435 2.117 9.724
ATOMIC_POSITIONS angstrom
Cu -3.443 1.336 2.355
Cu -3.718 1.058 4.862
Cu -6.006 0.616 5.865
```

Properties
* space-group type: No. 164



(two)
The following is a DFT calculation (GGA-PBE) of a relaxed structure of Cu. Values from VASP.

```
&SYSTEM
  ibrav = 0, nat = 22, ntyp = 1
/
ATOMIC_SPECIES
Cu 63.55 Cu.upf
CELL_PARAMETERS angstrom
4.005 -1.778 0.000
4.005 1.778 0.000
-0.348 0.000 18.687
ATOMIC_POSITIONS angstrom
Cu 1.177 0.000 0.736
Cu 6.748 0.000 1.635
Cu 4.315 0.000 2.331
Cu 1.894 0.000 3.203
Cu 7.508 0.000 4.028
Cu 5.088 0.000 4.833
Cu 2.676 0.000 5.654
Cu 0.267 0.000 6.478
Cu 5.862 0.000 7.292
Cu 3.448 0.000 8.116
Cu 1.034 0.000 8.935
Cu 6.627 0.000 9.755
Cu 4.213 0.000 10.574
Cu 1.799 0.000 11.397
Cu 7.394 0.000 12.210
Cu 4.985 0.000 13.034
Cu 2.573 0.000 13.854
Cu 0.154 0.000 14.658
Cu 5.768 0.000 15.482
Cu 3.347 0.000 16.353
Cu 0.914 0.000 17.048
Cu 6.485 0.000 17.947
```

Properties
* space-group type: No. 12



Which one sits at the top of the stability order? (two) does.



(one)
The following is a DFT calculation (GGA-PBE) of a relaxed structure of HgPbSeO. Values from VASP.

```
&SYSTEM
  ibrav = 0, nat = 8, ntyp = 4
/
ATOMIC_SPECIES
Hg 200.59 Hg.upf
O 16.00 O.upf
Pb 207.20 Pb.upf
Se 78.96 Se.upf
CELL_PARAMETERS angstrom
-3.263 2.415 -0.444
0.701 -2.999 -2.682
-7.090 -8.227 7.345
ATOMIC_POSITIONS angstrom
Hg -3.521 -4.086 3.648
Hg -7.066 -8.199 7.321
O -2.314 -2.686 2.398
O -5.860 -6.799 6.071
Pb -2.529 -3.409 0.041
Pb -7.396 -5.718 4.460
Se -2.618 -0.174 -0.490
Se -4.842 -6.092 2.437
```

Properties
* space-group type: No. 186



(two)
The following is a DFT calculation (GGA-PBE) of a relaxed structure of HgPbSeO. Values from VASP.

```
&SYSTEM
  ibrav = 0, nat = 16, ntyp = 4
/
ATOMIC_SPECIES
Hg 200.59 Hg.upf
O 16.00 O.upf
Pb 207.20 Pb.upf
Se 78.96 Se.upf
CELL_PARAMETERS angstrom
6.245 0.000 0.000
0.000 4.038 0.000
0.000 0.000 15.407
ATOMIC_POSITIONS angstrom
Hg 1.825 0.000 2.900
Hg 4.947 0.000 4.804
Hg 1.298 2.019 10.604
Hg 4.420 2.019 12.508
O 4.556 0.000 2.673
O 1.433 0.000 5.031
O 4.812 2.019 10.377
O 1.689 2.019 12.735
Pb 4.736 2.019 1.438
Pb 1.614 2.019 6.266
Pb 4.631 0.000 9.142
Pb 1.509 0.000 13.969
Se 1.611 2.019 1.196
Se 4.734 2.019 6.508
Se 1.511 0.000 8.900
Se 4.634 0.000 14.211
```

Properties
* space-group type: No. 62



Which one sits at the top of the stability order? (one) does.



(one)
The following is a DFT calculation (GGA-PBE) of a relaxed structure of Nd2Y2CICl4. Values from VASP.

```
&SYSTEM
  ibrav = 0, nat = 10, ntyp = 5
/
ATOMIC_SPECIES
C 12.01 C.upf
Cl 35.45 Cl.upf
I 126.90 I.upf
Nd 144.24 Nd.upf
Y 88.91 Y.upf
CELL_PARAMETERS angstrom
-3.200 0.764 -8.218
-5.966 -1.292 -6.411
-2.879 7.383 3.993
ATOMIC_POSITIONS angstrom
C -4.583 -0.264 -7.314
Cl -7.934 0.519 -11.553
Cl -2.392 2.074 -1.301
Cl -9.653 4.781 -9.334
Cl -4.110 6.336 0.918
I -6.022 3.427 -5.318
Nd -9.713 0.912 -13.829
Nd -2.331 5.943 3.193
Y -6.100 0.191 -9.118
Y -5.945 6.663 -1.518
```

Properties
* space-group type: No. 12
* total moment: 0.00 μB/atom



(two)
The following is a DFT calculation (GGA-PBE) of a relaxed structure of Nd2Y2CICl4. Values from VASP.

```
&SYSTEM
  ibrav = 0, nat = 10, ntyp = 5
/
ATOMIC_SPECIES
C 12.01 C.upf
Cl 35.45 Cl.upf
I 126.90 I.upf
Nd 144.24 Nd.upf
Y 88.91 Y.upf
CELL_PARAMETERS angstrom
8.703 -1.933 0.000
8.703 1.933 0.000
-2.129 0.000 8.230
ATOMIC_POSITIONS angstrom
C 8.703 0.000 0.000
Cl 14.166 0.000 1.301
Cl 2.096 0.000 2.682
Cl 13.181 0.000 5.549
Cl 1.111 0.000 6.930
I 7.638 0.000 4.115
Nd 11.105 0.000 0.658
Nd 4.171 0.000 7.572
Y 16.983 0.000 1.579
Y -1.706 0.000 6.652
```

Properties
* space-group type: No. 12
* total moment: 0.04 μB/atom



Which one sits at the top of the stability order? (one) does.